Entry 1:
## BeCrIr2 (PBE-GGA)

Data for BeCrIr2 after structural relaxation.

Cell and atoms, written as CIF:
```
data_BeCrIr2
_symmetry_space_group_name_H-M 'C 1 2/m 1'
_symmetry_Int_Tables_number 12
_cell_length_a 8.343
_cell_length_b 2.734
_cell_length_c 4.654
_cell_angle_alpha 90.00
_cell_angle_beta 103.58
_cell_angle_gamma 90.00
loop_
_symmetry_equiv_pos_as_xyz
'x,y,z'
'-x,-y,-z'
'-x,y,-z'
'x,-y,z'
'x+1/2,y+1/2,z'
'-x+1/2,-y+1/2,-z'
'-x+1/2,y+1/2,-z'
'x+1/2,-y+1/2,z'
loop_
_atom_site_label
_atom_site_type_symbol
_atom_site_fract_x
_atom_site_fract_y
_atom_site_fract_z
Be1 Be 0.000 0.000 0.000
Cr1 Cr 0.000 0.500 0.500
Ir1 Ir 0.241 0.500 0.239
```

Values from the calculation:
N(E_F) = 5.70 states/eV per cell
Energy of formation = -0.6 eV per formula unit
V = 103 Å³/cell
Total magnetic moment = 4.36 μB per cell

Entry 2:
## KCd2SbPd (PBE-GGA)

Data for KCd2SbPd after structural relaxation.

Cell and atoms, written as CIF:
```
data_KCd2SbPd
_symmetry_space_group_name_H-M 'P 4/m m m'
_symmetry_Int_Tables_number 123
_symmetry_space_group_name_Hall '-P 4 2'
_cell_length_a 5.294
_cell_length_b 5.294
_cell_length_c 5.273
_cell_angle_alpha 90.00
_cell_angle_beta 90.00
_cell_angle_gamma 90.00
loop_
_atom_site_label
_atom_site_type_symbol
_atom_site_fract_x
_atom_site_fract_y
_atom_site_fract_z
K1 K 0.000 0.000 0.000
Cd1 Cd 0.000 0.500 0.500
Sb1 Sb 0.500 0.500 0.000
Pd1 Pd 0.500 0.500 0.500
```

Values from the calculation:
Formation energy from raw total energies = -0.18 eV per atom
N(E_F) = 2.62 states/eV per cell
V = 148 Å³/cell
Total magnetic moment = 0.00 μB per cell

Entry 3:
## La4PmPr2Mg (PBE-GGA)

Data for La4PmPr2Mg after structural relaxation.

Cell and atoms, written as CIF:
```
data_La4PmPr2Mg
_symmetry_space_group_name_H-M 'P m m m'
_symmetry_Int_Tables_number 47
_cell_length_a 5.173
_cell_length_b 5.185
_cell_length_c 10.372
_cell_angle_alpha 90.00
_cell_angle_beta 90.00
_cell_angle_gamma 90.00
loop_
_symmetry_equiv_pos_as_xyz
'x,y,z'
'-x,-y,-z'
'-x,-y,z'
'x,y,-z'
'x,-y,-z'
'-x,y,z'
'-x,y,-z'
'x,-y,z'
loop_
_atom_site_label
_atom_site_type_symbol
_atom_site_fract_x
_atom_site_fract_y
_atom_site_fract_z
La1 La 0.000 0.000 0.246
La2 La 0.500 0.500 0.246
Pm1 Pm 0.000 0.500 0.500
Pr1 Pr 0.000 0.500 0.000
Pr2 Pr 0.500 0.000 0.500
Mg1 Mg 0.500 0.000 0.000
```

Values from the calculation:
N(E_F) = 10.95 states/eV per cell
Energy of formation = 0.0 eV per formula unit
V = 278 Å³/cell
Total magnetic moment = 0.00 μB per cell